Computed, not measured: a relaxed structure of ScMnAs2Br at the GGA-PBEsol level of DFT.

Computed properties:
As for the density of states at the Fermi level: 3.53 states/eV/f.u. Its space-group type is P4/mmm, No. 123. Its calculated volume is 26.1 A^3/atom. The total energy comes out at -27.05 eV per cell. For the raw formation energy, the calculation gives 280 meV per atom.

a b c (Å): 5.0800 5.0800 5.0611
angles (deg): 90.00 90.00 90.00
Fractional positions:
As 0.0000 0.5000 0.0000
As 0.5000 0.0000 0.0000
Br 0.0000 0.0000 0.5000
Mn 0.5000 0.5000 0.5000
Sc 0.0000 0.0000 0.0000